{
  "formula": "Zn5Cu5Au",
  "functional": "PBE",
  "state": "optimized geometry",
  "formation_enthalpy_0k_ev_per_fu": 0.97,
  "lattice_angstrom": [[4.685, 0.000, 0.000], [-2.342, 4.057, 0.000], [0.000, 0.000, 8.644]],
  "species": ["Cu", "Cu", "Cu", "Cu", "Cu", "Zn", "Zn", "Zn", "Zn", "Zn", "Au"],
  "frac_coords": [[0.831, 0.169, 0.500], [0.000, 0.000, 0.734], [0.831, 0.663, 0.500], [0.337, 0.169, 0.500], [0.000, 0.000, 0.266], [0.333, 0.667, 0.326], [0.667, 0.333, 0.219], [0.000, 0.000, 0.000], [0.333, 0.667, 0.674], [0.667, 0.333, 0.781], [0.333, 0.667, 0.000]]
}